This record from Alexandria describes a relaxed Na2MnIO4 crystal. The functional is PBE+U. Values from VASP.

Values from the calculation:
- Symmetry: I-4 (82)
- E: -39.1 eV/cell

Quantum ESPRESSO input file:
```
&SYSTEM
  ibrav = 0, nat = 8, ntyp = 4
/
ATOMIC_SPECIES
Na 22.99 Na.upf
Mn 54.94 Mn.upf
I 126.90 I.upf
O 16.00 O.upf
CELL_PARAMETERS angstrom
-3.6566 3.6566 3.0749
3.6566 -3.6566 3.0749
3.6566 3.6566 -3.0749
ATOMIC_POSITIONS crystal
Na 0.0000 0.0000 0.0000
Na 0.7500 0.2500 0.5000
Mn 0.2500 0.7500 0.5000
I 0.5000 0.5000 0.0000
O 0.0518 0.4180 0.2849
O 0.1332 0.7669 0.7151
O 0.2331 0.9482 0.3663
O 0.5820 0.8668 0.6337
```